{"formula": "AcTbZn2Pd5", "functional": "GGA-PBE", "state": "relaxed", "dos_ef_per_ev_atom": 0.45, "space_group": "P4/mmm", "energy_ev_per_atom": -4.7744, "formation_energy_ev_per_atom": -0.6354, "magmom_total_mub_per_cell": 0.0, "cell": [[4.2659, 0.0000, 0.0000], [0.0000, 4.2659, 0.0000], [0.0000, 0.0000, 9.5115]], "species": ["Ac", "Tb", "Zn", "Zn", "Pd", "Pd", "Pd", "Pd", "Pd"], "frac_coords": [[0.0000, 0.0000, 0.0000], [0.0000, 0.0000, 0.5000], [0.5000, 0.5000, 0.3735], [0.5000, 0.5000, 0.6265], [0.0000, 0.5000, 0.2348], [0.0000, 0.5000, 0.7652], [0.5000, 0.0000, 0.2348], [0.5000, 0.0000, 0.7652], [0.5000, 0.5000, 0.0000]]}

{"formula": "NdDy6Th4", "functional": "GGA-PBE", "state": "relaxed", "dos_ef_per_ev_atom": 1.48, "space_group": "Immm", "energy_ev_per_atom": -5.4682, "formation_energy_ev_per_atom": 0.1736, "magmom_total_mub_per_cell": 0.0, "cell": [[-1.7196, 2.9419, 17.8713], [1.7196, -2.9419, 17.8713], [1.7196, 2.9419, -17.8713]], "species": ["Nd", "Dy", "Dy", "Dy", "Dy", "Dy", "Dy", "Th", "Th", "Th", "Th"], "frac_coords": [[0.0000, 0.0000, 0.0000], [0.0969, 0.5969, 0.5000], [0.2672, 0.7672, 0.5000], [0.3684, 0.8684, 0.5000], [0.6316, 0.1316, 0.5000], [0.7328, 0.2328, 0.5000], [0.9031, 0.4031, 0.5000], [0.1826, 0.1826, 0.0000], [0.4555, 0.4555, 0.0000], [0.5445, 0.5445, 0.0000], [0.8174, 0.8174, 0.0000]]}

{"formula": "Pm2NiRh", "functional": "GGA-PBE", "state": "relaxed", "dos_ef_per_ev_atom": 0.37, "space_group": "P4/mmm", "relative_energy_mev_per_atom": 68, "energy_ev_per_atom": -6.1389, "formation_energy_ev_per_atom": -0.4804, "magmom_total_mub_per_cell": 0.0, "cell": [[4.9106, 0.0000, 0.0000], [0.0000, 4.9106, 0.0000], [0.0000, 0.0000, 3.5550]], "species": ["Pm", "Pm", "Ni", "Rh"], "frac_coords": [[0.0000, 0.5000, 0.0000], [0.5000, 0.0000, 0.0000], [0.0000, 0.0000, 0.5000], [0.5000, 0.5000, 0.5000]]}